YAl2 PBE-GGA optimized geometry; ΔE_f = 0.013 eV per atom; space group = Cmcm, No. 63; DOS at the Fermi energy = 0.542 states/eV per atom; crystal system = orthorhombic
1.0
-7.438 -0.743 3.190
5.874 -0.552 -5.590
1.233 -4.762 1.766
Y Al
2 4
Direct
0.286 0.714 0.750
0.714 0.286 0.250
0.600 0.400 0.750
0.955 0.045 0.750
0.045 0.955 0.250
0.400 0.600 0.250

=====

CdTePd2Br PBE-GGA optimized geometry; DFT total energy = -15.14 eV per formula unit; space group = P4/mmm, No. 123; DOS at the Fermi energy = 0.967 states/eV per atom; crystal system = tetragonal
1.0
-0.028 -4.898 1.197
5.619 0.012 0.182
-0.161 1.197 4.895
Te Br Pd Cd
1 1 2 1
Direct
0.000 0.000 0.000
0.500 0.500 0.500
0.000 0.000 0.500
0.500 0.000 0.000
0.000 0.500 0.000

=====

ZrTiCo2Re PBE-GGA optimized geometry; ΔE_f = 1.535 eV per atom; space group = P4/mmm, No. 123; DOS at the Fermi energy = 0.948 states/eV per atom; crystal system = tetragonal
1.0
4.409 0.000 0.000
0.000 4.409 0.000
0.000 0.000 4.917
Re Co Zr Ti
1 2 1 1
Direct
0.000 0.000 0.500
0.000 0.500 0.000
0.500 0.000 0.000
0.000 0.000 0.000
0.500 0.500 0.500

=====

TbPmHoAl PBE-GGA optimized geometry; ΔE_f = -0.192 eV per atom; excess energy over the best structure of this formula in the dataset = 0 meV/atom; space group = P4mm, No. 99; DOS at the Fermi energy = 0.811 states/eV per atom; crystal system = tetragonal
1.0
-1.550 -3.169 0.039
3.167 -1.547 0.150
-0.305 0.260 9.086
Tb Pm Ho Al
1 1 1 1
Direct
0.500 0.500 0.781
0.000 0.000 0.073
0.500 0.500 0.361
0.000 0.000 0.569

=====

KLaPdCl2 PBE-GGA optimized geometry; DFT total energy = -16.09 eV per formula unit; space group = P4/mmm, No. 123; DOS at the Fermi energy = 1.142 states/eV per atom; crystal system = tetragonal
1.0
-3.601 -2.598 2.703
-0.720 -3.199 -4.034
3.847 -3.313 1.941
K Cl Pd La
1 2 1 1
Direct
0.000 0.000 0.500
0.000 0.500 0.000
0.500 0.000 0.000
0.000 0.000 0.000
0.500 0.500 0.500

=====

Ac2SmIn2 PBE-GGA optimized geometry; ΔE_f = -0.346 eV per atom; space group = Immm, No. 71; DOS at the Fermi energy = 1.200 states/eV per atom; crystal system = orthorhombic
1.0
-1.921 3.338 3.302
-3.869 -2.851 4.529
2.741 -0.491 5.988
Ac Sm In
2 1 2
Direct
0.198 0.302 0.302
0.802 0.698 0.698
0.000 0.000 0.000
0.500 0.284 0.716
0.500 0.716 0.284

=====

Ca12Cu3H5 PBE-GGA optimized geometry; DFT total energy = -57.05 eV per formula unit; space group = Ia-3d, No. 230; DOS at the Fermi energy = 0.578 states/eV per atom; crystal system = cubic
1.0
-2.676 11.923 6.108
-2.087 -10.211 8.833
13.011 -0.166 -4.161
Cu H Ca
12 20 48
Direct
0.750 0.375 0.125
0.875 0.750 0.125
0.375 0.750 0.625
0.250 0.125 0.375
0.875 0.125 0.250
0.375 0.625 0.250
0.625 0.375 0.750
0.125 0.875 0.750
0.750 0.875 0.625
0.625 0.250 0.375
0.125 0.250 0.875
0.250 0.625 0.875
0.125 0.375 0.250
0.000 0.500 0.000
0.000 0.000 0.000
0.375 0.250 0.125
0.500 0.000 0.500
0.500 0.500 0.000
0.125 0.750 0.375
0.750 0.125 0.875
0.750 0.625 0.375
0.375 0.125 0.750
0.625 0.875 0.250
0.500 0.500 0.500
0.500 0.000 0.000
0.000 0.000 0.500
0.250 0.375 0.625
0.250 0.875 0.125
0.000 0.500 0.500
0.875 0.250 0.625
0.625 0.750 0.875
0.875 0.625 0.750
0.711 0.121 0.023
0.311 0.523 0.402
0.977 0.379 0.289
0.523 0.211 0.121
0.591 0.711 0.689
0.977 0.598 0.189
0.311 0.789 0.409
0.098 0.909 0.121
0.598 0.977 0.689
0.711 0.591 0.189
0.789 0.477 0.379
0.811 0.902 0.023
0.121 0.711 0.523
0.379 0.402 0.091
0.091 0.902 0.379
0.409 0.121 0.598
0.091 0.189 0.211
0.477 0.689 0.098
0.811 0.909 0.289
0.121 0.409 0.098
0.379 0.977 0.789
0.598 0.621 0.409
0.902 0.811 0.523
0.789 0.311 0.909
0.402 0.379 0.591
0.098 0.189 0.477
0.211 0.689 0.091
0.189 0.091 0.711
0.621 0.023 0.211
0.879 0.591 0.902
0.523 0.311 0.902
0.591 0.879 0.402
0.909 0.811 0.789
0.909 0.098 0.621
0.879 0.289 0.477
0.189 0.098 0.977
0.621 0.598 0.909
0.402 0.023 0.311
0.289 0.409 0.811
0.211 0.523 0.621
0.902 0.091 0.879
0.689 0.211 0.591
0.477 0.789 0.879
0.023 0.402 0.811
0.409 0.289 0.311
0.023 0.621 0.711
0.689 0.477 0.598
0.289 0.879 0.977

=====

TaBRu3 PBE-GGA optimized geometry; ΔE_f = 0.248 eV per atom; space group = C2/m, No. 12; DOS at the Fermi energy = 0.919 states/eV per atom; crystal system = monoclinic
1.0
18.473 0.000 0.454
6.697 1.457 -2.677
-6.697 1.457 2.677
Ru B Ta
6 2 2
Direct
0.840 0.228 0.772
0.160 0.772 0.228
0.086 0.209 0.791
0.914 0.791 0.209
0.460 0.718 0.282
0.540 0.282 0.718
0.664 0.992 0.008
0.336 0.008 0.992
0.789 0.115 0.885
0.211 0.885 0.115